! PuInBiAu, optimized geometry, DFT GGA-PBE; values from VASP
! formation enthalpy at 0 K: -0.295 eV/atom
! symmetry: Pmmm (47)
! total moment: 5.6 μB/f.u.
! calculated total energy: -25.410 eV per cell
&SYSTEM
  ibrav = 0, nat = 4, ntyp = 4
/
ATOMIC_SPECIES
In 114.82 In.upf
Pu 244.00 Pu.upf
Bi 208.98 Bi.upf
Au 196.97 Au.upf
ATOMIC_POSITIONS crystal
In 0.5000 0.5000 0.0000
Pu 0.0000 0.5000 0.5000
Bi 0.5000 0.0000 0.5000
Au 0.0000 0.0000 0.0000
CELL_PARAMETERS angstrom
-1.1948 -4.2793 0.9135
2.0656 0.2584 3.9122
-4.2246 1.6326 2.1228